No. 1
Pa2B2O7 | PBE-GGA | relaxed

Lattice parameters (Å, degrees): 5.5301 5.5301 4.5171 96.18 96.18 102.91
Closest atoms and distances in Å follow each position.
Positions (direct):
Pa  0.1911  0.8089  0.0000  6 O 2.26-2.34
Pa  0.8089  0.1911  0.0000  6 O 2.26-2.34
B  0.3053  0.3053  0.5802  4 O 1.45-1.52
B  0.6947  0.6947  0.4198  4 O 1.45-1.52
O  0.1307  0.4128  0.7671  1 B 1.52
O  0.1487  0.1487  0.3070  1 B 1.49
O  0.4128  0.1307  0.7671  1 B 1.52
O  0.5000  0.5000  0.5000  2 B 1.45
O  0.5872  0.8693  0.2329  1 B 1.52
O  0.8513  0.8513  0.6930  1 B 1.49
O  0.8693  0.5872  0.2329  1 B 1.52

Values from the calculation:
Theoretical density: 7458 kg/m3
E: -97.8 eV per formula unit
Symmetry: C2/m
Total moment: 2.0 μB/cell
N(E_F): 5.631 states/eV/cell
Uncorrected formation energy: -2792 meV/atom

***

No. 2
PmTmPt | PBE-GGA | relaxed

Lattice parameters (Å, degrees): 4.8990 4.8990 4.8990 60.00 60.00 60.00
Closest atoms and distances in Å follow each position.
Positions (direct):
Pm  0.0000  0.0000  0.0000  4 Pt 3.00
Tm  0.5000  0.5000  0.5000  4 Pt 3.00
Pt  0.7500  0.7500  0.7500  4 Pm 3.00, 4 Tm 3.00

Values from the calculation:
Energy above the lowest structure with this stoichiometry: 1.96 kcal/mol of atoms
Theoretical density: 10167 kg/m3
E: -17.7 eV per formula unit
E_form: -2.49 eV per formula unit
Symmetry: F-43m
Total moment: 0.0 μB/cell
N(E_F): 1.971 states/eV/cell

***

No. 3
Mn2ReRu | PBE-GGA | relaxed

Lattice parameters (Å, degrees): 4.5211 4.5211 4.5211 130.90 130.90 71.97
Closest atoms and distances in Å follow each position.
Positions (direct):
Mn  0.2500  0.7500  0.5000  4 Ru 2.62, 4 Re 2.62, 4 Mn 2.66
Mn  0.7500  0.2500  0.5000  4 Ru 2.62, 4 Re 2.62, 4 Mn 2.66
Re  0.0000  0.0000  0.0000  8 Mn 2.62, 4 Ru 2.66
Ru  0.5000  0.5000  0.0000  8 Mn 2.62, 4 Re 2.66

Values from the calculation:
Theoretical density: 12771 kg/m3
E: -39.8 eV per formula unit
E_form: 0.31 eV per formula unit
Symmetry: I4/mmm
Total moment: 2.0 μB/cell
N(E_F): 3.928 states/eV/cell

***

No. 4
Ce7Fe2Au2 | PBE-GGA | relaxed

Lattice parameters (Å, degrees): 9.2386 9.2386 9.2386 157.55 67.08 117.73
Closest atoms and distances in Å follow each position.
Positions (direct):
Ce  0.0000  0.0000  0.0000  3 Au 3.11-3.16, 2 Fe 3.45
Ce  0.0556  0.3705  0.6851  2 Fe 2.53
Ce  0.0780  0.7320  0.3460  2 Fe 2.73
Ce  0.3860  0.7320  0.6540  2 Fe 2.73
Ce  0.4361  0.5700  0.8661  2 Fe 2.86, 3 Au 3.11-3.13
Ce  0.6853  0.3705  0.3149  2 Fe 2.53
Ce  0.7040  0.5700  0.1339  2 Fe 2.86, 3 Au 3.11-3.13
Fe  0.2691  0.0469  0.2223  4 Ce 2.53-2.73
Fe  0.8246  0.0469  0.7777  4 Ce 2.53-2.73
Au  0.3261  0.3261  0.0000  7 Ce 3.11
Au  0.7284  0.2284  0.5000  8 Ce 3.13-3.16

Values from the calculation:
Theoretical density: 9327 kg/m3
E: -67.2 eV per formula unit
E_form: -2.17 eV per formula unit
Symmetry: Imm2
Total moment: 2.6 μB/cell
N(E_F): 25.850 states/eV/cell

***

No. 5
MgVCu | PBE-GGA | relaxed

Lattice parameters (Å, degrees): 4.0335 4.9532 5.5465 64.21 73.18 68.71
Closest atoms and distances in Å follow each position.
Positions (direct):
Mg  0.0000  0.0000  0.0000  5 Cu 2.72-2.91, 3 Mg 2.79-2.96, 4 V 2.81-2.96
Mg  0.3299  0.4896  0.8387  4 Cu 2.63-2.89, 3 V 2.70-2.93, 2 Mg 2.79-2.87
V  0.3598  0.9947  0.3768  1 V 1.97
V  0.6574  0.0236  0.5868  1 V 1.97
Cu  0.0097  0.5038  0.4797  2 Cu 2.50-2.66, 2 V 2.62-2.68, 2 Mg 2.63-2.72
Cu  0.6470  0.5294  0.1694  2 Cu 2.50-2.66, 2 V 2.56-2.75, 1 Mg 2.63

Values from the calculation:
Energy above the lowest structure with this stoichiometry: 2.87 kcal/mol of atoms
Theoretical density: 5020 kg/m3
E: -14.1 eV per formula unit
E_form: 0.71 eV per formula unit
Symmetry: P1
Total moment: 0.0 μB/cell
N(E_F): 4.095 states/eV/cell

***

No. 6
Ce2DyY3Se6 | PBE-GGA | relaxed

Lattice parameters (Å, degrees): 7.1211 7.1211 7.1838 99.53 99.53 120.08
Closest atoms and distances in Å follow each position.
Positions (direct):
Ce  0.1663  0.8337  0.0000  6 Se 2.96
Ce  0.8337  0.1663  0.0000  6 Se 2.96
Dy  0.5000  0.5000  0.0000  6 Se 2.91
Y  0.0000  0.0000  0.5000  6 Se 2.88-2.92
Y  0.3325  0.6675  0.5000  6 Se 2.87-2.92
Y  0.6675  0.3325  0.5000  6 Se 2.87-2.92
Se  0.0869  0.4148  0.7436  3 Y 2.87-2.92, 1 Dy 2.91, 2 Ce 2.96
Se  0.2582  0.2582  0.2572  3 Y 2.88-2.92, 1 Dy 2.91, 2 Ce 2.96
Se  0.4148  0.0869  0.7436  3 Y 2.87-2.92, 1 Dy 2.91, 2 Ce 2.96
Se  0.5852  0.9131  0.2564  3 Y 2.87-2.92, 1 Dy 2.91, 2 Ce 2.96
Se  0.7418  0.7418  0.7428  3 Y 2.88-2.92, 1 Dy 2.91, 2 Ce 2.96
Se  0.9131  0.5852  0.2564  3 Y 2.87-2.92, 1 Dy 2.91, 2 Ce 2.96

Values from the calculation:
Theoretical density: 6607 kg/m3
E: -78.2 eV per formula unit
Symmetry: C2/m
Total moment: 1.9 μB/cell
N(E_F): 14.542 states/eV/cell
Uncorrected formation energy: -1789 meV/atom

***

No. 7
LiTeS2 | PBE-GGA | relaxed

Lattice parameters (Å, degrees): 7.2901 7.5812 6.8304 90.00 90.00 90.00
Closest atoms and distances in Å follow each position.
Positions (direct):
Li  0.1748  0.1194  0.0000  3 S 2.57-2.66
Li  0.3252  0.6194  0.5000  3 S 2.57-2.66
Li  0.6748  0.3806  0.0000  3 S 2.57-2.66
Li  0.8252  0.8806  0.5000  3 S 2.57-2.66
Te  0.2222  0.6048  0.9907  2 S 2.41
Te  0.2778  0.1048  0.4907  2 S 2.41
Te  0.7222  0.8952  0.9907  2 S 2.41
Te  0.7778  0.3952  0.4907  2 S 2.41
S  0.1208  0.9009  0.7038  1 Te 2.41, 2 Li 2.57-2.64
S  0.1236  0.4127  0.7297  1 Te 2.41, 1 Li 2.66
S  0.3764  0.9127  0.2297  1 Te 2.41, 1 Li 2.66
S  0.3792  0.4009  0.2038  1 Te 2.41, 2 Li 2.57-2.64
S  0.6208  0.5991  0.7038  1 Te 2.41, 2 Li 2.57-2.64
S  0.6236  0.0873  0.7297  1 Te 2.41, 1 Li 2.66
S  0.8764  0.5873  0.2297  1 Te 2.41, 1 Li 2.66
S  0.8792  0.0991  0.2038  1 Te 2.41, 2 Li 2.57-2.64

Values from the calculation:
Theoretical density: 3496 kg/m3
E: -14.8 eV per formula unit
Symmetry: Pna2_1
Total moment: 0.0 μB/cell
N(E_F): 2.905 states/eV/cell
Uncorrected formation energy: -375 meV/atom

***

No. 8
CaErCdHg | PBE-GGA | relaxed

Lattice parameters (Å, degrees): 5.2939 5.2939 5.2939 60.00 60.00 60.00
Closest atoms and distances in Å follow each position.
Positions (direct):
Ca  0.0000  0.0000  0.0000  4 Hg 3.24, 4 Cd 3.24
Er  0.5000  0.5000  0.5000  4 Cd 3.24, 4 Hg 3.24
Cd  0.2500  0.2500  0.2500  4 Er 3.24, 4 Ca 3.24
Hg  0.7500  0.7500  0.7500  4 Er 3.24, 4 Ca 3.24

Values from the calculation:
Energy above the lowest structure with this stoichiometry: 0.32 kcal/mol of atoms
Theoretical density: 8236 kg/m3
E: -9.5 eV per formula unit
E_form: -1.69 eV per formula unit
Symmetry: F-43m
Total moment: 0.0 μB/cell
N(E_F): 3.061 states/eV/cell

***

No. 9
KTlS3 | PBE-GGA | relaxed

Lattice parameters (Å, degrees): 5.2337 5.2337 5.2337 90.00 90.00 90.00
Closest atoms and distances in Å follow each position.
Positions (direct):
K  0.0000  0.0000  0.0000  12 S 3.70
Tl  0.5000  0.5000  0.5000  6 S 2.62
S  0.0000  0.5000  0.5000  2 Tl 2.62
S  0.5000  0.0000  0.5000  2 Tl 2.62
S  0.5000  0.5000  0.0000  2 Tl 2.62

Values from the calculation:
Energy above the lowest structure with this stoichiometry: 12.52 kcal/mol of atoms
Theoretical density: 3934 kg/m3
E: -15.5 eV per formula unit
Symmetry: Pm-3m
Total moment: 0.0 μB/cell
N(E_F): 6.067 states/eV/cell
Uncorrected formation energy: 70 meV/atom

***

No. 10
ScCS | PBE-GGA | relaxed

Lattice parameters (Å, degrees): 4.2838 4.2838 8.7942 109.05 109.05 38.21
Closest atoms and distances in Å follow each position.
Positions (direct):
Sc  0.0000  0.0000  0.0000  6 C 2.26-2.28
Sc  0.0000  0.0000  0.5000  6 S 2.58-2.88, 2 Sc 2.80
C  0.2814  0.2814  0.0002  2 C 1.49
C  0.7186  0.7186  0.9998  2 C 1.49
S  0.3725  0.3725  0.6797  3 Sc 2.58-2.88, 2 S 2.80
S  0.6275  0.6275  0.3203  3 Sc 2.58-2.88, 2 S 2.80

Values from the calculation:
Theoretical density: 3157 kg/m3
E: -21.1 eV per formula unit
Symmetry: C2/m
Total moment: 0.0 μB/cell
N(E_F): 2.112 states/eV/cell
Uncorrected formation energy: -478 meV/atom

***

No. 11
Er2MgGe2 | PBE-GGA | relaxed

Lattice parameters (Å, degrees): 7.2152 7.2152 4.2099 90.00 90.00 90.00
Closest atoms and distances in Å follow each position.
Positions (direct):
Er  0.1770  0.3230  0.0000  6 Ge 2.92-3.05
Er  0.3230  0.8230  0.0000  6 Ge 2.92-3.05
Er  0.6770  0.1770  0.0000  6 Ge 2.92-3.05
Er  0.8230  0.6770  0.0000  6 Ge 2.92-3.05
Mg  0.0000  0.0000  0.5000  4 Ge 2.86
Mg  0.5000  0.5000  0.5000  4 Ge 2.86
Ge  0.1244  0.6244  0.5000  1 Ge 2.54
Ge  0.3756  0.1244  0.5000  1 Ge 2.54
Ge  0.6244  0.8756  0.5000  1 Ge 2.54
Ge  0.8756  0.3756  0.5000  1 Ge 2.54

Values from the calculation:
Theoretical density: 7639 kg/m3
E: -23.8 eV per formula unit
E_form: -3.83 eV per formula unit
Symmetry: P4/mbm
Total moment: 0.0 μB/cell
N(E_F): 1.716 states/eV/cell

***

No. 12
HoThPdAu | PBE-GGA | relaxed

Lattice parameters (Å, degrees): 5.1211 5.1211 5.1211 60.00 60.00 60.00
Closest atoms and distances in Å follow each position.
Positions (direct):
Ho  0.0000  0.0000  0.0000  4 Pd 3.14, 4 Au 3.14
Th  0.5000  0.5000  0.5000  4 Pd 3.14, 4 Au 3.14
Pd  0.7500  0.7500  0.7500  4 Th 3.14, 4 Ho 3.14
Au  0.2500  0.2500  0.2500  4 Th 3.14, 4 Ho 3.14

Values from the calculation:
Energy above the lowest structure with this stoichiometry: 2.43 kcal/mol of atoms
Theoretical density: 12246 kg/m3
E: -23.3 eV per formula unit
E_form: -2.86 eV per formula unit
Symmetry: F-43m
Total moment: 0.0 μB/cell
N(E_F): 3.775 states/eV/cell

***

- The highest total moment belongs to which entry?
  Ce7Fe2Au2

***

- Number 9 is which compound?
  KTlS3

***

Copy entry 7 word for word.
LiTeS2 | PBE-GGA | relaxed

Lattice parameters (Å, degrees): 7.2901 7.5812 6.8304 90.00 90.00 90.00
Closest atoms and distances in Å follow each position.
Positions (direct):
Li  0.1748  0.1194  0.0000  3 S 2.57-2.66
Li  0.3252  0.6194  0.5000  3 S 2.57-2.66
Li  0.6748  0.3806  0.0000  3 S 2.57-2.66
Li  0.8252  0.8806  0.5000  3 S 2.57-2.66
Te  0.2222  0.6048  0.9907  2 S 2.41
Te  0.2778  0.1048  0.4907  2 S 2.41
Te  0.7222  0.8952  0.9907  2 S 2.41
Te  0.7778  0.3952  0.4907  2 S 2.41
S  0.1208  0.9009  0.7038  1 Te 2.41, 2 Li 2.57-2.64
S  0.1236  0.4127  0.7297  1 Te 2.41, 1 Li 2.66
S  0.3764  0.9127  0.2297  1 Te 2.41, 1 Li 2.66
S  0.3792  0.4009  0.2038  1 Te 2.41, 2 Li 2.57-2.64
S  0.6208  0.5991  0.7038  1 Te 2.41, 2 Li 2.57-2.64
S  0.6236  0.0873  0.7297  1 Te 2.41, 1 Li 2.66
S  0.8764  0.5873  0.2297  1 Te 2.41, 1 Li 2.66
S  0.8792  0.0991  0.2038  1 Te 2.41, 2 Li 2.57-2.64

Values from the calculation:
Theoretical density: 3496 kg/m3
E: -14.8 eV per formula unit
Symmetry: Pna2_1
Total moment: 0.0 μB/cell
N(E_F): 2.905 states/eV/cell
Uncorrected formation energy: -375 meV/atom